Arrangement w

Below is a relaxed SrMn3Rh crystal, with properties calculated at the PBE level.

The structure belongs to space group Pm-3m (No. 221); the cell edges are 4.739, 4.739 and 4.739 Å and the angles 90.00°, 90.00° and 90.00°. Symmetry generates all atoms from Sr at (0.000, 0.000, 0.000), Mn at (0.000, 0.000, 0.500) and Rh at (0.500, 0.500, 0.500).

The value obtained for the total magnetization is 11.33 μB/f.u.


Arrangement x

Below is a relaxed SrMn3Rh crystal, with properties calculated at the PBE level.

The structure belongs to space group Pm-3m (No. 221); the cell edges are 4.922, 4.922 and 4.922 Å and the angles 90.00°, 90.00° and 90.00°. Symmetry generates all atoms from Sr at (0.000, 0.000, 0.000), Mn at (0.000, 0.500, 0.500) and Rh at (0.500, 0.500, 0.500).

The value obtained for the total magnetization is 13.01 μB/f.u.


Stability ranking, top and bottom: arrangement x is the most stable and arrangement w is the least stable.


Arrangement w

Below is a relaxed SrMn2Rh2 crystal, with properties calculated at the PBE level.

The structure belongs to space group I4/mmm (No. 139); the cell edges are 4.240, 4.240 and 10.818 Å and the angles 90.00°, 90.00° and 90.00°. Symmetry generates all atoms from Sr at (0.000, 0.000, 0.000), Mn at (0.000, 0.500, 0.250) and Rh at (0.000, 0.000, 0.381).

The value obtained for the total magnetization is 7.88 μB/f.u.


Arrangement x

Below is a relaxed SrMn2Rh2 crystal, with properties calculated at the PBE level.

The structure belongs to space group I4/mmm (No. 139); the cell edges are 4.320, 4.320 and 9.382 Å and the angles 90.00°, 90.00° and 90.00°. Symmetry generates all atoms from Sr at (0.000, 0.000, 0.000), Mn at (0.000, 0.000, 0.388) and Rh at (0.000, 0.500, 0.250).

The value obtained for the total magnetization is 3.97 μB/f.u.


Arrangement y

Below is a relaxed SrMn2Rh2 crystal, with properties calculated at the PBE level.

The structure belongs to space group P4/mbm (No. 127); the cell edges are 7.587, 7.587 and 2.742 Å and the angles 90.00°, 90.00° and 90.00°. Symmetry generates all atoms from Sr at (0.000, 0.000, 0.000), Mn at (0.106, 0.394, 0.000) and Rh at (0.174, 0.674, 0.500).

The value obtained for the total magnetization is 0.00 μB/f.u.


Stability ranking, top and bottom: arrangement w is the most stable and arrangement y is the least stable.


Arrangement w

Below is a relaxed TaMnRh crystal, with properties calculated at the PBE level.

The structure belongs to space group Fmm2 (No. 42); the cell edges are 3.848, 3.862 and 11.658 Å and the angles 90.00°, 90.00° and 90.00°. Symmetry generates all atoms from Ta at (0.000, 0.000, 0.000), Mn at (0.000, 0.000, 0.325) and Rh at (0.000, 0.000, 0.687).

The value obtained for the total magnetization is 0.00 μB/f.u.


Arrangement x

Below is a relaxed TaMnRh crystal, with properties calculated at the PBE level.

The structure belongs to space group F-43m (No. 216); the cell edges are 6.029, 6.029 and 6.029 Å and the angles 90.00°, 90.00° and 90.00°. Symmetry generates all atoms from Ta at (0.000, 0.000, 0.000), Mn at (0.000, 0.000, 0.500) and Rh at (0.250, 0.250, 0.750).

The value obtained for the total magnetization is 3.31 μB/f.u.


Stability ranking, top and bottom: arrangement w is the most stable and arrangement x is the least stable.


Arrangement w

Below is a relaxed TaMnRh crystal, with properties calculated at the PBE level.

The structure belongs to space group P3m1 (No. 156); the cell edges are 4.3501, 4.3501 and 2.7870 Å and the angles 90.00°, 90.00° and 120.00°. Symmetry generates all atoms from Ta at (0.0000, 0.0000, 0.0000), Mn at (0.6667, 0.3333, 0.3413) and Rh at (0.3333, 0.6667, 0.6748).

The value obtained for the total magnetization is 3.36 μB/f.u.


Arrangement x

Below is a relaxed TaMnRh crystal, with properties calculated at the PBE level.

The structure belongs to space group Imm2 (No. 44); the cell edges are 3.075, 3.305 and 8.994 Å and the angles 90.00°, 90.00° and 90.00°. Symmetry generates all atoms from Ta at (0.000, 0.000, 0.000), Mn at (0.000, 0.000, 0.665) and Rh at (0.000, 0.000, 0.334).

The value obtained for the total magnetization is 3.22 μB/f.u.


Stability ranking, top and bottom: arrangement x is the most stable and arrangement w is the least stable.


Arrangement w

Below is a relaxed TaMn2Rh crystal, with properties calculated at the PBE level.

The structure belongs to space group I-42d (No. 122); the cell edges are 3.681, 3.681 and 18.671 Å and the angles 90.00°, 90.00° and 90.00°. Symmetry generates all atoms from Ta at (0.000, 0.000, 0.000), Mn at (0.247, 0.250, 0.625) and Rh at (0.000, 0.000, 0.500).

The value obtained for the total magnetization is 5.98 μB/f.u.


Arrangement x

Below is a relaxed TaMn2Rh crystal, with properties calculated at the PBE level.

The structure belongs to space group P4/mmm (No. 123); the cell edges are 3.124, 3.124 and 5.910 Å and the angles 90.00°, 90.00° and 90.00°. Symmetry generates all atoms from Ta at (0.000, 0.000, 0.000), Mn at (0.500, 0.500, 0.250) and Rh at (0.000, 0.000, 0.500).

The value obtained for the total magnetization is 5.25 μB/f.u.


Arrangement y

Below is a relaxed TaMn2Rh crystal, with properties calculated at the PBE level.

The structure belongs to space group R-3m (No. 166, hexagonal axes); the cell edges are 2.8209, 2.8209 and 25.8900 Å and the angles 90.00°, 90.00° and 120.00°. Symmetry generates all atoms from Ta at (0.0000, 0.0000, 0.0000), Mn at (0.0000, 0.0000, 0.2462) and Rh at (0.0000, 0.0000, 0.5000).

The value obtained for the total magnetization is 5.68 μB/f.u.


Arrangement z

Below is a relaxed TaMn2Rh crystal, with properties calculated at the PBE level.

The structure belongs to space group P4mm (No. 99); the cell edges are 3.086, 3.086 and 5.959 Å and the angles 90.00°, 90.00° and 90.00°. Symmetry generates all atoms from Ta at (0.000, 0.000, 0.000), Mn at (0.000, 0.000, 0.470), Mn at (0.500, 0.500, 0.244) and Rh at (0.500, 0.500, 0.728).

The value obtained for the total magnetization is 3.96 μB/f.u.


Stability ranking, top and bottom: arrangement z is the most stable and arrangement w is the least stable.


Arrangement w

Below is a relaxed TaMn2Rh crystal, with properties calculated at the PBE level.

The structure belongs to space group Immm (No. 71); the cell edges are 3.526, 3.973 and 8.268 Å and the angles 90.00°, 90.00° and 90.00°. Symmetry generates all atoms from Ta at (0.000, 0.000, 0.000), Mn at (0.000, 0.500, 0.248) and Rh at (0.000, 0.000, 0.500).

The value obtained for the total magnetization is 5.49 μB/f.u.


Arrangement x

Below is a relaxed TaMn2Rh crystal, with properties calculated at the PBE level.

The structure belongs to space group I-4m2 (No. 119); the cell edges are 3.794, 3.794 and 7.870 Å and the angles 90.00°, 90.00° and 90.00°. Symmetry generates all atoms from Ta at (0.000, 0.000, 0.000), Mn at (0.000, 0.000, 0.500), Mn at (0.000, 0.500, 0.750) and Rh at (0.000, 0.500, 0.250).

The value obtained for the total magnetization is 0.76 μB/f.u.


Arrangement y

Below is a relaxed TaMn2Rh crystal, with properties calculated at the PBE level.

The structure belongs to space group C2/m (No. 12); the cell edges are 5.310, 8.503 and 2.751 Å and the angles 90.00°, 111.55° and 90.00°. Symmetry generates all atoms from Ta at (0.000, 0.000, 0.000), Mn at (0.250, 0.250, 0.500) and Rh at (0.000, 0.500, 0.000).

The value obtained for the total magnetization is 5.07 μB/f.u.


Arrangement z

Below is a relaxed TaMn2Rh crystal, with properties calculated at the PBE level.

The structure belongs to space group F-43m (No. 216); the cell edges are 6.101, 6.101 and 6.101 Å and the angles 90.00°, 90.00° and 90.00°. Symmetry generates all atoms from Ta at (0.000, 0.000, 0.000), Mn at (0.000, 0.000, 0.500), Mn at (0.250, 0.250, 0.250) and Rh at (0.250, 0.250, 0.750).

The value obtained for the total magnetization is 3.92 μB/f.u.


Stability ranking, top and bottom: arrangement x is the most stable and arrangement y is the least stable.